# 1
# GaRe2I PBE relaxed
data_GaRe2I
_symmetry_space_group_name_H-M 'P 1'
_symmetry_Int_Tables_number 1
_symmetry_space_group_name_Hall 'P 1'
_cell_length_a 4.524
_cell_length_b 4.524
_cell_length_c 4.524
_cell_angle_alpha 60.00
_cell_angle_beta 60.00
_cell_angle_gamma 60.00
loop_
_atom_site_label
_atom_site_fract_x
_atom_site_fract_y
_atom_site_fract_z
Ga1 0.000 0.000 0.000
Re1 0.250 0.250 0.250
Re2 0.750 0.750 0.750
I1 0.500 0.500 0.500
# V = 65.47 Å³ per cell
# raw total energy = -6.322 eV/atom
# formation energy (no corrections) = 1046 meV/atom
# energy above the most stable polymorph in this dataset = 0 meV/atom

=====

# 2
# AcYNpO6 PBE relaxed
data_AcYNpO6
_symmetry_space_group_name_H-M 'P 1'
_symmetry_Int_Tables_number 1
_symmetry_space_group_name_Hall 'P 1'
_cell_length_a 5.837
_cell_length_b 5.837
_cell_length_c 10.308
_cell_angle_alpha 90.00
_cell_angle_beta 90.00
_cell_angle_gamma 120.00
loop_
_atom_site_label
_atom_site_fract_x
_atom_site_fract_y
_atom_site_fract_z
Ac1 0.000 0.000 0.000
Ac2 0.000 0.000 0.500
Y1 0.333 0.667 0.250
Y2 0.667 0.333 0.750
Np1 0.333 0.667 0.750
Np2 0.667 0.333 0.250
O1 0.026 0.373 0.641
O2 0.026 0.653 0.859
O3 0.347 0.373 0.859
O4 0.347 0.974 0.641
O5 0.373 0.026 0.141
O6 0.373 0.347 0.359
O7 0.627 0.653 0.641
O8 0.627 0.974 0.859
O9 0.653 0.026 0.359
O10 0.653 0.627 0.141
O11 0.974 0.347 0.141
O12 0.974 0.627 0.359
# V = 304.18 Å³ per cell
# raw total energy = -9.156 eV/atom
# formation energy (no corrections) = -3238 meV/atom

=====

# 3
# CeSmO2 PBE relaxed
data_CeSmO2
_symmetry_space_group_name_H-M 'P 1'
_symmetry_Int_Tables_number 1
_symmetry_space_group_name_Hall 'P 1'
_cell_length_a 6.084
_cell_length_b 6.084
_cell_length_c 6.084
_cell_angle_alpha 131.70
_cell_angle_beta 131.70
_cell_angle_gamma 70.70
loop_
_atom_site_label
_atom_site_fract_x
_atom_site_fract_y
_atom_site_fract_z
Ce1 0.375 0.625 0.750
Ce2 0.625 0.375 0.250
Sm1 0.125 0.875 0.250
Sm2 0.875 0.125 0.750
O1 0.124 0.374 0.750
O2 0.374 0.124 0.250
O3 0.626 0.876 0.750
O4 0.876 0.626 0.250
# V = 122.99 Å³ per cell
# raw total energy = -7.957 eV/atom
# formation energy (no corrections) = -2815 meV/atom
# energy above the most stable polymorph in this dataset = 0 meV/atom

=====

# 4
# Co2RuCl PBE relaxed
data_Co2RuCl
_symmetry_space_group_name_H-M 'P 1'
_symmetry_Int_Tables_number 1
_symmetry_space_group_name_Hall 'P 1'
_cell_length_a 2.796
_cell_length_b 2.796
_cell_length_c 8.148
_cell_angle_alpha 90.00
_cell_angle_beta 90.00
_cell_angle_gamma 119.63
loop_
_atom_site_label
_atom_site_fract_x
_atom_site_fract_y
_atom_site_fract_z
Co1 0.000 0.000 0.000
Co2 0.500 0.500 0.233
Ru1 0.500 0.500 0.749
Cl1 0.000 0.000 0.472
# V = 55.38 Å³ per cell
# raw total energy = -5.740 eV/atom
# formation energy (no corrections) = 594 meV/atom
# energy above the most stable polymorph in this dataset = 242 meV/atom

=====

# 5
# Th3AlFe PBE relaxed
data_Th3AlFe
_symmetry_space_group_name_H-M 'P 1'
_symmetry_Int_Tables_number 1
_symmetry_space_group_name_Hall 'P 1'
_cell_length_a 5.186
_cell_length_b 5.186
_cell_length_c 5.186
_cell_angle_alpha 90.00
_cell_angle_beta 90.00
_cell_angle_gamma 90.00
loop_
_atom_site_label
_atom_site_fract_x
_atom_site_fract_y
_atom_site_fract_z
Th1 0.000 0.000 0.500
Th2 0.000 0.500 0.000
Th3 0.500 0.000 0.000
Al1 0.500 0.500 0.500
Fe1 0.000 0.000 0.000
# V = 139.45 Å³ per cell
# raw total energy = -6.966 eV/atom
# ΔE_f = -0.36 eV per formula unit
# energy above the most stable polymorph in this dataset = 34 meV/atom

=====

# 6
# Bi3TeSe2 PBE relaxed
data_Bi3TeSe2
_symmetry_space_group_name_H-M 'P 1'
_symmetry_Int_Tables_number 1
_symmetry_space_group_name_Hall 'P 1'
_cell_length_a 7.827
_cell_length_b 7.827
_cell_length_c 7.827
_cell_angle_alpha 150.16
_cell_angle_beta 79.10
_cell_angle_gamma 108.77
loop_
_atom_site_label
_atom_site_fract_x
_atom_site_fract_y
_atom_site_fract_z
Bi1 0.000 0.000 0.000
Bi2 0.322 0.047 0.275
Bi3 0.773 0.047 0.725
Te1 0.752 0.252 0.500
Se1 0.193 0.354 0.838
Se2 0.516 0.354 0.162
# V = 221.70 Å³ per cell
# raw total energy = -3.681 eV/atom
# formation energy (no corrections) = -56 meV/atom

=====

# 7
# NaCa2Ga2 PBE relaxed
data_NaCa2Ga2
_symmetry_space_group_name_H-M 'P 1'
_symmetry_Int_Tables_number 1
_symmetry_space_group_name_Hall 'P 1'
_cell_length_a 8.510
_cell_length_b 8.510
_cell_length_c 3.767
_cell_angle_alpha 90.00
_cell_angle_beta 90.00
_cell_angle_gamma 90.00
loop_
_atom_site_label
_atom_site_fract_x
_atom_site_fract_y
_atom_site_fract_z
Na1 0.000 0.000 0.000
Na2 0.500 0.500 0.000
Ca1 0.179 0.321 0.500
Ca2 0.321 0.821 0.500
Ca3 0.679 0.179 0.500
Ca4 0.821 0.679 0.500
Ga1 0.113 0.613 0.000
Ga2 0.387 0.113 0.000
Ga3 0.613 0.887 0.000
Ga4 0.887 0.387 0.000
# V = 272.83 Å³ per cell
# raw total energy = -2.582 eV/atom
# ΔE_f = -1.53 eV per formula unit
# energy above the most stable polymorph in this dataset = 0 meV/atom

=====

# 8
# LiMgIn PBE relaxed
data_LiMgIn
_symmetry_space_group_name_H-M 'P 1'
_symmetry_Int_Tables_number 1
_symmetry_space_group_name_Hall 'P 1'
_cell_length_a 7.711
_cell_length_b 7.510
_cell_length_c 3.096
_cell_angle_alpha 81.94
_cell_angle_beta 74.63
_cell_angle_gamma 23.43
loop_
_atom_site_label
_atom_site_fract_x
_atom_site_fract_y
_atom_site_fract_z
Li1 0.000 0.000 0.000
Mg1 0.660 0.660 0.340
In1 0.340 0.340 0.660
# V = 66.21 Å³ per cell
# raw total energy = -2.164 eV/atom
# ΔE_f = -0.25 eV per formula unit
# energy above the most stable polymorph in this dataset = 99 meV/atom

=====

# 9
# Y3Tm7Sc PBE relaxed
data_Y3Tm7Sc
_symmetry_space_group_name_H-M 'P 1'
_symmetry_Int_Tables_number 1
_symmetry_space_group_name_Hall 'P 1'
_cell_length_a 6.912
_cell_length_b 6.912
_cell_length_c 8.489
_cell_angle_alpha 90.00
_cell_angle_beta 90.00
_cell_angle_gamma 120.00
loop_
_atom_site_label
_atom_site_fract_x
_atom_site_fract_y
_atom_site_fract_z
Y1 0.002 0.501 0.000
Y2 0.499 0.501 0.000
Y3 0.499 0.998 0.000
Tm1 0.168 0.337 0.659
Tm2 0.168 0.832 0.659
Tm3 0.336 0.168 0.334
Tm4 0.663 0.832 0.659
Tm5 0.667 0.333 0.660
Tm6 0.832 0.168 0.334
Tm7 0.832 0.664 0.334
Sc1 0.333 0.667 0.336
# V = 351.28 Å³ per cell
# raw total energy = -4.983 eV/atom
# ΔE_f = 2.22 eV per formula unit
# energy above the most stable polymorph in this dataset = 36 meV/atom

=====

# 10
# AcSnH PBE relaxed
data_AcSnH
_symmetry_space_group_name_H-M 'P 1'
_symmetry_Int_Tables_number 1
_symmetry_space_group_name_Hall 'P 1'
_cell_length_a 4.675
_cell_length_b 4.607
_cell_length_c 6.884
_cell_angle_alpha 90.00
_cell_angle_beta 109.91
_cell_angle_gamma 90.00
loop_
_atom_site_label
_atom_site_fract_x
_atom_site_fract_y
_atom_site_fract_z
Ac1 0.155 0.250 0.309
Ac2 0.845 0.750 0.691
Sn1 0.432 0.250 0.864
Sn2 0.568 0.750 0.136
H1 0.257 0.750 0.513
H2 0.743 0.250 0.487
# V = 139.41 Å³ per cell
# raw total energy = -4.503 eV/atom
# energy above the most stable polymorph in this dataset = 0 meV/atom

=====

# 11
# LuScSiAu PBE relaxed
data_LuScSiAu
_symmetry_space_group_name_H-M 'P 1'
_symmetry_Int_Tables_number 1
_symmetry_space_group_name_Hall 'P 1'
_cell_length_a 4.854
_cell_length_b 4.854
_cell_length_c 4.854
_cell_angle_alpha 60.00
_cell_angle_beta 60.00
_cell_angle_gamma 60.00
loop_
_atom_site_label
_atom_site_fract_x
_atom_site_fract_y
_atom_site_fract_z
Lu1 0.000 0.000 0.000
Sc1 0.500 0.500 0.500
Si1 0.750 0.750 0.750
Au1 0.250 0.250 0.250
# V = 80.86 Å³ per cell
# raw total energy = -5.533 eV/atom
# formation energy (no corrections) = -645 meV/atom

=====

# 12
# Pa2Co12P3Rh PBE relaxed
data_Pa2Co12P3Rh
_symmetry_space_group_name_H-M 'P 1'
_symmetry_Int_Tables_number 1
_symmetry_space_group_name_Hall 'P 1'
_cell_length_a 6.213
_cell_length_b 6.213
_cell_length_c 6.213
_cell_angle_alpha 82.44
_cell_angle_beta 82.44
_cell_angle_gamma 82.44
loop_
_atom_site_label
_atom_site_fract_x
_atom_site_fract_y
_atom_site_fract_z
Pa1 0.136 0.136 0.136
Pa2 0.864 0.864 0.864
Co1 0.127 0.127 0.601
Co2 0.127 0.601 0.127
Co3 0.163 0.687 0.687
Co4 0.313 0.313 0.837
Co5 0.313 0.837 0.313
Co6 0.399 0.873 0.873
Co7 0.601 0.127 0.127
Co8 0.687 0.163 0.687
Co9 0.687 0.687 0.163
Co10 0.837 0.313 0.313
Co11 0.873 0.399 0.873
Co12 0.873 0.873 0.399
P1 0.000 0.500 0.500
P2 0.500 0.000 0.500
P3 0.500 0.500 0.000
Rh1 0.500 0.500 0.500
# V = 234.09 Å³ per cell
# raw total energy = -7.152 eV/atom
# ΔE_f = -0.89 eV per formula unit

=====

# 13
# PrTm2Ti PBE relaxed
data_PrTm2Ti
_symmetry_space_group_name_H-M 'P 1'
_symmetry_Int_Tables_number 1
_symmetry_space_group_name_Hall 'P 1'
_cell_length_a 3.376
_cell_length_b 3.376
_cell_length_c 9.809
_cell_angle_alpha 90.00
_cell_angle_beta 90.00
_cell_angle_gamma 90.00
loop_
_atom_site_label
_atom_site_fract_x
_atom_site_fract_y
_atom_site_fract_z
Pr1 0.000 0.000 0.000
Tm1 0.500 0.500 0.291
Tm2 0.500 0.500 0.709
Ti1 0.000 0.000 0.500
# V = 111.83 Å³ per cell
# raw total energy = -5.261 eV/atom
# ΔE_f = 0.58 eV per formula unit
# energy above the most stable polymorph in this dataset = 0 meV/atom

=====

# 14
# Zr2BWSe PBE relaxed
data_Zr2BWSe
_symmetry_space_group_name_H-M 'P 1'
_symmetry_Int_Tables_number 1
_symmetry_space_group_name_Hall 'P 1'
_cell_length_a 5.164
_cell_length_b 5.164
_cell_length_c 4.634
_cell_angle_alpha 90.00
_cell_angle_beta 90.00
_cell_angle_gamma 90.00
loop_
_atom_site_label
_atom_site_fract_x
_atom_site_fract_y
_atom_site_fract_z
Zr1 0.000 0.500 0.000
Zr2 0.500 0.000 0.000
B1 0.000 0.000 0.500
W1 0.500 0.500 0.000
Se1 0.500 0.500 0.500
# V = 123.57 Å³ per cell
# raw total energy = -6.588 eV/atom
# formation energy (no corrections) = 1455 meV/atom

=====

# 15
# PmSnPdPb PBE relaxed
data_PmSnPdPb
_symmetry_space_group_name_H-M 'P 1'
_symmetry_Int_Tables_number 1
_symmetry_space_group_name_Hall 'P 1'
_cell_length_a 5.225
_cell_length_b 5.225
_cell_length_c 5.225
_cell_angle_alpha 60.00
_cell_angle_beta 60.00
_cell_angle_gamma 60.00
loop_
_atom_site_label
_atom_site_fract_x
_atom_site_fract_y
_atom_site_fract_z
Pm1 0.000 0.000 0.000
Sn1 0.750 0.750 0.750
Pd1 0.250 0.250 0.250
Pb1 0.500 0.500 0.500
# V = 100.88 Å³ per cell
# raw total energy = -4.780 eV/atom
# ΔE_f = -1.47 eV per formula unit

=====

# 16
# Rb3Ag2HgBr6 PBE relaxed
data_Rb3Ag2HgBr6
_symmetry_space_group_name_H-M 'P 1'
_symmetry_Int_Tables_number 1
_symmetry_space_group_name_Hall 'P 1'
_cell_length_a 8.533
_cell_length_b 8.533
_cell_length_c 8.636
_cell_angle_alpha 90.00
_cell_angle_beta 90.00
_cell_angle_gamma 120.00
loop_
_atom_site_label
_atom_site_fract_x
_atom_site_fract_y
_atom_site_fract_z
Rb1 0.000 0.000 0.000
Rb2 0.333 0.667 0.607
Rb3 0.667 0.333 0.393
Ag1 0.333 0.667 0.196
Ag2 0.667 0.333 0.804
Hg1 0.000 0.000 0.500
Br1 0.165 0.329 0.285
Br2 0.165 0.835 0.285
Br3 0.329 0.165 0.715
Br4 0.671 0.835 0.285
Br5 0.835 0.165 0.715
Br6 0.835 0.671 0.715
# V = 544.53 Å³ per cell
# raw total energy = -2.485 eV/atom
# formation energy (no corrections) = -907 meV/atom

=====

# 17
# Cd2In2SnHg6 PBE relaxed
data_Cd2In2SnHg6
_symmetry_space_group_name_H-M 'P 1'
_symmetry_Int_Tables_number 1
_symmetry_space_group_name_Hall 'P 1'
_cell_length_a 6.415
_cell_length_b 7.321
_cell_length_c 7.471
_cell_angle_alpha 65.63
_cell_angle_beta 74.66
_cell_angle_gamma 65.85
loop_
_atom_site_label
_atom_site_fract_x
_atom_site_fract_y
_atom_site_fract_z
Cd1 0.236 0.017 0.016
Cd2 0.764 0.983 0.984
In1 0.203 0.121 0.408
In2 0.797 0.879 0.592
Sn1 0.000 0.500 0.000
Hg1 0.111 0.637 0.308
Hg2 0.379 0.710 0.798
Hg3 0.433 0.313 0.662
Hg4 0.567 0.687 0.338
Hg5 0.621 0.290 0.202
Hg6 0.889 0.363 0.692
# V = 289.71 Å³ per cell
# raw total energy = -1.150 eV/atom
# ΔE_f = 0.47 eV per formula unit

=====

# 18
# Sm3Si2Ir PBE relaxed
data_Sm3Si2Ir
_symmetry_space_group_name_H-M 'P 1'
_symmetry_Int_Tables_number 1
_symmetry_space_group_name_Hall 'P 1'
_cell_length_a 7.302
_cell_length_b 7.302
_cell_length_c 7.302
_cell_angle_alpha 65.32
_cell_angle_beta 65.32
_cell_angle_gamma 65.32
loop_
_atom_site_label
_atom_site_fract_x
_atom_site_fract_y
_atom_site_fract_z
Sm1 0.062 0.750 0.438
Sm2 0.250 0.562 0.938
Sm3 0.438 0.062 0.750
Sm4 0.562 0.938 0.250
Sm5 0.750 0.438 0.062
Sm6 0.938 0.250 0.562
Si1 0.146 0.146 0.146
Si2 0.354 0.354 0.354
Si3 0.646 0.646 0.646
Si4 0.854 0.854 0.854
Ir1 0.000 0.000 0.000
Ir2 0.500 0.500 0.500
# V = 307.15 Å³ per cell
# raw total energy = -6.266 eV/atom
# formation energy (no corrections) = -622 meV/atom
# energy above the most stable polymorph in this dataset = 167 meV/atom

=====

# 19
# Hg2SbAu PBE relaxed
data_Hg2SbAu
_symmetry_space_group_name_H-M 'P 1'
_symmetry_Int_Tables_number 1
_symmetry_space_group_name_Hall 'P 1'
_cell_length_a 3.389
_cell_length_b 3.389
_cell_length_c 9.384
_cell_angle_alpha 90.00
_cell_angle_beta 90.00
_cell_angle_gamma 112.48
loop_
_atom_site_label
_atom_site_fract_x
_atom_site_fract_y
_atom_site_fract_z
Hg1 0.000 0.000 0.000
Hg2 0.500 0.500 0.261
Sb1 0.500 0.500 0.714
Au1 0.000 0.000 0.495
# V = 99.62 Å³ per cell
# raw total energy = -1.875 eV/atom
# formation energy (no corrections) = 126 meV/atom

=====

# 20
# SiNiPt PBE relaxed
data_SiNiPt
_symmetry_space_group_name_H-M 'P 1'
_symmetry_Int_Tables_number 1
_symmetry_space_group_name_Hall 'P 1'
_cell_length_a 3.924
_cell_length_b 3.924
_cell_length_c 3.924
_cell_angle_alpha 60.00
_cell_angle_beta 60.00
_cell_angle_gamma 60.00
loop_
_atom_site_label
_atom_site_fract_x
_atom_site_fract_y
_atom_site_fract_z
Si1 0.000 0.000 0.000
Ni1 0.750 0.750 0.750
Pt1 0.250 0.250 0.250
# V = 42.72 Å³ per cell
# raw total energy = -6.364 eV/atom
# formation energy (no corrections) = -615 meV/atom

=====

How do the records compare in total moment? In the order shown, they have 0.0; 2.0; 0.0; 4.7; 0.0; 0.0; 0.0; 0.0; 0.0; 0.0; 0.1; 5.2; 0.0; 0.0; 0.0; 0.0; 0.0; 0.0; 0.0; 0.0 μB/cell.